Computed, not measured: a relaxed structure of Dy5ErPt6 at the PBE-GGA level of DFT.

The structure in extended XYZ format:
```
12
Lattice="4.881 -0.311 0.793 -0.019 6.404 2.626 1.133 0.269 8.473" Properties=species:S:1:pos:R:3 pbc="T T T"
Er 0.000 0.000 0.000
Pt 4.437 3.581 5.001
Pt 4.447 0.365 3.683
Pt 3.559 4.931 10.845
Pt 2.436 1.431 1.047
Pt 1.548 5.998 8.210
Pt 1.558 2.781 6.891
Dy 4.005 1.039 6.616
Dy 1.998 2.121 3.964
Dy -0.010 3.202 1.313
Dy 3.997 4.241 7.929
Dy 1.990 5.323 5.277
```

Calculated values
Density of states at the Fermi level: 7.1 states/eV/f.u.
DFT formation energy: -14.766 eV/f.u.
Space group: No. 12
Calculated total energy: -6.549 eV/atom